Run one
Below is a geometry-optimized BaLiSc2 structure, with properties calculated at the GGA-PBEsol level.

```
BaLiSc2
1.0
3.646 0.000 0.000
0.000 5.577 0.000
-1.823 -2.788 5.442
Sc Li Ba
2 1 1
direct
0.983 0.983 0.965
0.730 0.230 0.460
0.265 0.765 0.531
0.522 0.522 0.044
```

Values from the calculation:
calculated volume	111	Å³ per cell
Fermi-level density of states	1.521	states/eV per atom
SG	Imm2

---

Run two
Below is a geometry-optimized BaLiSc2 structure, with properties calculated at the GGA-PBEsol level.

```
BaLiSc2
1.0
-1.277 -3.219 -0.656
5.077 -1.807 -1.016
-1.281 1.139 6.373
Sc Ba Li
2 1 1
direct
0.277 0.277 0.554
0.723 0.723 0.446
0.500 0.000 0.000
0.000 0.500 0.000
```

Values from the calculation:
calculated volume	111	Å³ per cell
Fermi-level density of states	1.882	states/eV per atom
SG	Immm

---

Stability ranking, top and bottom: run two is the most stable and run one is the least stable.

---

Run one
Below is a geometry-optimized Ba2SrLi structure, with properties calculated at the GGA-PBEsol level.

```
Ba2SrLi
1.0
4.442 0.000 0.000
0.000 6.620 -0.017
-2.221 -3.294 6.567
Li Ba Sr
1 2 1
direct
0.504 0.504 0.007
0.997 0.997 0.995
0.787 0.287 0.574
0.212 0.712 0.423
```

Values from the calculation:
calculated volume	193	Å³ per cell
Fermi-level density of states	1.367	states/eV per atom
SG	Imm2

---

Run two
Below is a geometry-optimized Ba2SrLi structure, with properties calculated at the GGA-PBEsol level.

```
Ba2SrLi
1.0
-3.358 -2.301 2.484
0.037 -4.665 -4.272
4.527 -3.013 3.330
Sr Ba Li
1 2 1
direct
0.000 0.500 0.500
0.000 0.000 0.000
0.500 0.000 0.500
0.500 0.500 0.000
```

Values from the calculation:
calculated volume	192	Å³ per cell
Fermi-level density of states	1.116	states/eV per atom
SG	Pmmm

---

Stability ranking, top and bottom: run one is the most stable and run two is the least stable.

---

Run one
Below is a geometry-optimized BaSrLi2 structure, with properties calculated at the GGA-PBEsol level.

```
BaSrLi2
1.0
-1.981 -4.239 0.374
1.795 -1.254 -4.701
6.511 -0.219 2.544
Ba Li Sr
1 2 1
direct
0.399 0.500 0.799
0.811 0.000 0.623
0.684 0.500 0.368
0.106 0.000 0.212
```

Values from the calculation:
calculated volume	160	Å³ per cell
Fermi-level density of states	0.876	states/eV per atom
SG	Amm2

---

Run two
Below is a geometry-optimized BaSrLi2 structure, with properties calculated at the GGA-PBEsol level.

```
BaSrLi2
1.0
6.022 0.000 0.000
3.011 5.215 0.000
3.011 1.738 4.917
Li Ba Sr
2 1 1
direct
0.250 0.250 0.250
0.750 0.750 0.750
0.500 0.500 0.500
0.000 0.000 0.000
```

Values from the calculation:
calculated volume	154	Å³ per cell
Fermi-level density of states	1.174	states/eV per atom
SG	Fm-3m

---

Stability ranking, top and bottom: run two is the most stable and run one is the least stable.

---

Run one
Below is a geometry-optimized BaSrLi2 structure, with properties calculated at the GGA-PBEsol level.

```
BaSrLi2
1.0
4.772 0.000 0.000
2.386 4.133 0.000
2.386 1.378 8.379
Ba Li Sr
1 2 1
direct
0.276 0.276 0.171
0.711 0.711 0.868
0.044 0.044 0.869
0.469 0.469 0.592
```

Values from the calculation:
calculated volume	165	Å³ per cell
Fermi-level density of states	0.830	states/eV per atom
SG	R3m

---

Run two
Below is a geometry-optimized BaSrLi2 structure, with properties calculated at the GGA-PBEsol level.

```
BaSrLi2
1.0
4.021 0.000 0.000
0.000 6.177 0.030
0.000 -2.738 6.498
Sr Li Ba
1 2 1
direct
0.500 0.500 0.000
0.500 0.000 0.500
0.000 0.000 0.000
0.000 0.500 0.500
```

Values from the calculation:
calculated volume	162	Å³ per cell
Fermi-level density of states	1.087	states/eV per atom
SG	P2/m

---

Stability ranking, top and bottom: run one is the most stable and run two is the least stable.

---

Run one
Below is a geometry-optimized BaSrLi structure, with properties calculated at the GGA-PBEsol level.

```
BaSrLi
1.0
-2.261 3.384 -1.369
-2.612 -2.625 -2.174
-1.837 -0.903 7.538
Li Sr Ba
1 1 1
direct
0.327 0.327 0.655
0.693 0.693 0.387
0.979 0.979 0.958
```

Values from the calculation:
calculated volume	133	Å³ per cell
Fermi-level density of states	1.282	states/eV per atom
SG	I4mm

---

Run two
Below is a geometry-optimized BaSrLi structure, with properties calculated at the GGA-PBEsol level.

```
BaSrLi
1.0
5.929 0.000 0.000
2.965 5.135 0.000
2.965 1.712 4.841
Ba Sr Li
1 1 1
direct
0.500 0.500 0.500
0.000 0.000 0.000
0.250 0.250 0.250
```

Values from the calculation:
calculated volume	147	Å³ per cell
Fermi-level density of states	1.187	states/eV per atom
SG	F-43m

---

Stability ranking, top and bottom: run one is the most stable and run two is the least stable.

---

Run one
Below is a geometry-optimized BaLi2Ta structure, with properties calculated at the GGA-PBEsol level.

```
BaLi2Ta
1.0
2.938 0.000 0.000
-1.469 5.196 0.017
0.000 -0.468 6.193
Li Ta Ba
2 1 1
direct
0.759 0.518 0.814
0.241 0.482 0.186
0.500 0.000 0.000
0.000 0.000 0.500
```

Values from the calculation:
calculated volume	95	Å³ per cell
Fermi-level density of states	1.140	states/eV per atom
SG	C2/m

---

Run two
Below is a geometry-optimized BaLi2Ta structure, with properties calculated at the GGA-PBEsol level.

```
BaLi2Ta
1.0
2.901 0.023 0.035
-0.655 5.815 0.006
-0.655 -2.425 5.286
Ta Li Ba
1 2 1
direct
0.500 0.000 0.000
0.000 0.500 0.000
0.000 0.000 0.500
0.500 0.500 0.500
```

Values from the calculation:
calculated volume	89	Å³ per cell
Fermi-level density of states	0.965	states/eV per atom
SG	C2/m

---

Stability ranking, top and bottom: run one is the most stable and run two is the least stable.

---

Run one
Below is a geometry-optimized BaLiTa2 structure, with properties calculated at the GGA-PBEsol level.

```
BaLiTa2
1.0
-2.960 -2.552 -1.020
2.696 -2.988 -0.347
-0.703 -1.229 5.114
Ta Ba Li
2 1 1
direct
0.000 0.500 0.000
0.500 0.000 0.000
0.500 0.500 0.500
0.000 0.000 0.500
```

Values from the calculation:
calculated volume	87	Å³ per cell
Fermi-level density of states	1.547	states/eV per atom
SG	P4/mmm

---

Run two
Below is a geometry-optimized BaLiTa2 structure, with properties calculated at the GGA-PBEsol level.

```
BaLiTa2
1.0
-0.784 2.580 -1.393
-1.906 -2.241 -0.747
-6.168 2.530 8.156
Ta Ba Li
2 1 1
direct
0.000 0.000 0.987
0.500 0.500 0.794
0.000 0.000 0.510
0.500 0.500 0.209
```

Values from the calculation:
calculated volume	91	Å³ per cell
Fermi-level density of states	0.926	states/eV per atom
SG	Cmm2

---

Stability ranking, top and bottom: run two is the most stable and run one is the least stable.

---

Run one
Below is a geometry-optimized BaLiTc structure, with properties calculated at the GGA-PBEsol level.

```
BaLiTc
1.0
4.878 0.000 0.000
2.439 4.224 0.000
2.439 1.408 3.983
Ba Li Tc
1 1 1
direct
0.250 0.250 0.250
0.000 0.000 0.000
0.500 0.500 0.500
```

Values from the calculation:
calculated volume	82	Å³ per cell
Fermi-level density of states	0.789	states/eV per atom
SG	F-43m

---

Run two
Below is a geometry-optimized BaLiTc structure, with properties calculated at the GGA-PBEsol level.

```
BaLiTc
1.0
2.906 0.000 0.000
0.000 5.065 0.000
0.000 -2.533 4.387
Li Tc Ba
1 1 1
direct
0.613 0.333 0.667
0.418 0.667 0.333
0.969 0.000 0.000
```

Values from the calculation:
calculated volume	65	Å³ per cell
Fermi-level density of states	0.714	states/eV per atom
SG	P3m1

---

Stability ranking, top and bottom: run two is the most stable and run one is the least stable.